Material: PdAu3Se
Method: DFT, PBE
State: optimized geometry

Cell lengths 5.0110, 5.0110, 5.0110 Å; angles 90.00, 90.00, 90.00 degrees
Last column: nearest neighbours and their distance in Å.
Space group Pm-3m (No. 221)
Inequivalent atoms, fractional coordinates:
Pd 0.0000 0.0000 0.0000 [1 per cell]  6 Au 2.51
Au 0.0000 0.0000 0.5000 [3 per cell]  2 Pd 2.51
Se 0.5000 0.5000 0.5000 [1 per cell]  12 Au 3.54

Results
energy above the lowest structure with this stoichiometry = 253 meV/atom
VASP energy = -2.7766 eV/atom